DFT (meta-GGA SCAN) results for a crystal of USn3 relaxed with PBEsol.

Values from the calculation:
energy	-52.8458	eV per atom
M_tot	2.11	μB/f.u.
calculated formation energy	-0.0231	eV per atom

Lattice parameters (Å, degrees): 4.528 4.528 4.528 90.00 90.00 90.00
Element x y z (fractional)
U 0.000 0.000 0.000
Sn 0.000 0.500 0.500
Sn 0.500 0.000 0.500
Sn 0.500 0.500 0.000

---

DFT (meta-GGA SCAN) results for a crystal of Y3SnW relaxed with PBEsol.

Values from the calculation:
energy	-36.7170	eV per atom
M_tot	5.09	μB/f.u.
calculated formation energy	1.1105	eV per atom

Lattice parameters (Å, degrees): 5.532 5.532 5.532 90.00 90.00 90.00
Element x y z (fractional)
Y 0.000 0.000 0.500
Y 0.000 0.500 0.000
Y 0.500 0.000 0.000
Sn 0.000 0.000 0.000
W 0.500 0.500 0.500

---

DFT (meta-GGA SCAN) results for a crystal of Y2SnW2 relaxed with PBEsol.

Values from the calculation:
energy	-45.0101	eV per atom
M_tot	0.00	μB/f.u.
calculated formation energy	1.1865	eV per atom

Lattice parameters (Å, degrees): 6.836 6.836 6.836 142.00 142.00 54.83
Element x y z (fractional)
Y 0.250 0.750 0.500
Y 0.750 0.250 0.500
Sn 0.000 0.000 0.000
W 0.408 0.408 0.000
W 0.592 0.592 0.000